MgScCl2, relaxed, DFT PBE-GGA; polymorph energy (0 for the lowest one) = 14 meV/atom; calculated volume = 105.5 Å³/f.u.; formation energy without anion corrections = -1.219 eV/atom; N(E_F) = 2.73 states/eV/f.u.
1.0
3.430 0.000 0.000
-1.715 2.971 0.000
0.000 0.000 31.065
Mg Sc Cl
3 3 6
direct
0.000 0.000 0.000
0.333 0.667 0.667
0.667 0.333 0.333
0.000 0.000 0.500
0.333 0.667 0.167
0.667 0.333 0.833
0.000 0.000 0.220
0.000 0.000 0.780
0.333 0.667 0.447
0.333 0.667 0.886
0.667 0.333 0.114
0.667 0.333 0.553

=====

MgScCl2, relaxed, DFT PBE-GGA; polymorph energy (0 for the lowest one) = 44 meV/atom; calculated volume = 94.4 Å³/f.u.; formation energy without anion corrections = -1.188 eV/atom; N(E_F) = 1.82 states/eV/f.u.
1.0
4.601 0.000 0.000
0.000 4.721 0.000
0.000 0.000 8.691
Mg Sc Cl
2 2 4
direct
0.000 0.000 0.000
0.500 0.500 0.000
0.000 0.500 0.724
0.500 0.000 0.724
0.000 0.000 0.566
0.000 0.500 0.155
0.500 0.000 0.155
0.500 0.500 0.566